No. 1
# Tl2In5Pb5

A relaxed Tl2In5Pb5 crystal (PBE, the Alexandria database).

Cell lengths 4.924, 7.755, 10.437 Å; angles 73.34, 76.36, 71.49 degrees
Fractional positions:
Tl (0.917, 0.418, 0.748)
Tl (0.083, 0.582, 0.252)
In (0.833, 0.837, 0.498)
In (0.249, 0.753, 0.750)
In (0.751, 0.247, 0.250)
In (0.167, 0.163, 0.502)
In (0.000, 0.000, 0.000)
Pb (0.500, 0.500, 0.500)
Pb (0.333, 0.331, 0.004)
Pb (0.412, 0.922, 0.255)
Pb (0.588, 0.078, 0.745)
Pb (0.667, 0.669, 0.996)

Calculated values
- space-group type = C2/m, No. 12
- total energy (eV/cell) = -36.82

No. 2
# Tl2In3Pb3

A relaxed Tl2In3Pb3 crystal (PBE, the Alexandria database).

Cell lengths 4.938, 4.831, 10.589 Å; angles 103.19, 103.48, 90.00 degrees
Fractional positions:
Tl (0.750, 0.250, 0.500)
Tl (0.250, 0.750, 0.500)
In (0.123, 0.123, 0.246)
In (0.000, 0.500, 0.000)
In (0.877, 0.877, 0.754)
Pb (0.622, 0.622, 0.243)
Pb (0.378, 0.378, 0.757)
Pb (0.500, 0.000, 0.000)

Calculated values
- space-group type = Immm, No. 71
- total energy (eV/cell) = -24.02

No. 3
# TlIn4Pb15

A relaxed TlIn4Pb15 crystal (PBE, the Alexandria database).

Cell lengths 4.964, 4.964, 24.974 Å; angles 90.00, 90.00, 90.00 degrees
Fractional positions:
Tl (0.000, 0.000, 0.000)
In (0.000, 0.000, 0.200)
In (0.000, 0.000, 0.400)
In (0.000, 0.000, 0.600)
In (0.000, 0.000, 0.800)
Pb (0.500, 0.500, 0.000)
Pb (0.500, 0.500, 0.201)
Pb (0.500, 0.500, 0.400)
Pb (0.500, 0.500, 0.600)
Pb (0.500, 0.500, 0.799)
Pb (0.500, 0.000, 0.102)
Pb (0.500, 0.000, 0.300)
Pb (0.500, 0.000, 0.500)
Pb (0.500, 0.000, 0.700)
Pb (0.500, 0.000, 0.898)
Pb (0.000, 0.500, 0.102)
Pb (0.000, 0.500, 0.300)
Pb (0.000, 0.500, 0.500)
Pb (0.000, 0.500, 0.700)
Pb (0.000, 0.500, 0.898)

Calculated values
- space-group type = P4/mmm, No. 123
- total energy (eV/cell) = -68.60

No. 4
# TlIn9Pb2

A relaxed TlIn9Pb2 crystal (PBE, the Alexandria database).

Cell lengths 5.176, 5.176, 12.723 Å; angles 90.00, 90.00, 90.00 degrees
Fractional positions:
Tl (0.000, 0.000, 0.000)
In (0.500, 0.500, 0.000)
In (0.500, 0.500, 0.334)
In (0.500, 0.500, 0.666)
In (0.500, 0.000, 0.165)
In (0.500, 0.000, 0.500)
In (0.500, 0.000, 0.835)
In (0.000, 0.500, 0.165)
In (0.000, 0.500, 0.500)
In (0.000, 0.500, 0.835)
Pb (0.000, 0.000, 0.332)
Pb (0.000, 0.000, 0.668)

Calculated values
- space-group type = P4/mmm, No. 123
- total energy (eV/cell) = -34.20

No. 5
# Tl17InPb11

A relaxed Tl17InPb11 crystal (PBE, the Alexandria database).

Cell lengths 10.647, 10.647, 10.570 Å; angles 109.36, 109.36, 109.56 degrees
Fractional positions:
Tl (0.999, 0.999, 0.353)
Tl (0.684, 0.684, 0.281)
Tl (0.652, 0.652, 0.650)
Tl (0.406, 0.406, 0.718)
Tl (0.000, 0.000, 0.002)
Tl (0.312, 0.592, 0.001)
Tl (0.407, 0.717, 0.404)
Tl (0.000, 0.312, 0.592)
Tl (0.000, 0.351, 0.000)
Tl (0.280, 0.687, 0.688)
Tl (0.592, 0.000, 0.313)
Tl (0.000, 0.592, 0.313)
Tl (0.687, 0.280, 0.688)
Tl (0.351, 0.000, 0.000)
Tl (0.312, 0.000, 0.592)
Tl (0.717, 0.407, 0.404)
Tl (0.592, 0.312, 0.001)
In (0.378, 0.378, 0.187)
Pb (0.195, 0.195, 0.824)
Pb (0.626, 0.810, 0.001)
Pb (0.185, 0.374, 0.371)
Pb (0.812, 0.002, 0.626)
Pb (0.623, 0.999, 0.807)
Pb (0.816, 0.190, 0.191)
Pb (0.190, 0.816, 0.191)
Pb (0.999, 0.623, 0.807)
Pb (0.002, 0.812, 0.626)
Pb (0.374, 0.185, 0.371)
Pb (0.810, 0.626, 0.001)

Calculated values
- space-group type = Cm, No. 8
- total energy (eV/cell) = -83.67

No. 6
# Tl8In5Pb

A relaxed Tl8In5Pb crystal (PBE, the Alexandria database).

Cell lengths 8.249, 8.249, 8.249 Å; angles 109.64, 109.13, 109.64 degrees
Fractional positions:
Tl (0.139, 0.735, 0.062)
Tl (0.938, 0.077, 0.673)
Tl (0.760, 0.262, 0.359)
Tl (0.641, 0.401, 0.903)
Tl (0.502, 0.599, 0.240)
Tl (0.596, 0.923, 0.861)
Tl (0.327, 0.265, 0.404)
Tl (0.097, 0.738, 0.498)
In (0.024, 0.341, 0.122)
In (0.878, 0.902, 0.218)
In (0.782, 0.659, 0.684)
In (0.500, 0.000, 0.500)
In (0.316, 0.098, 0.976)
Pb (0.250, 0.500, 0.750)

Calculated values
- space-group type = I-4, No. 82
- total energy (eV/cell) = -35.43

No. 7
# TlIn2Pb

A relaxed TlIn2Pb crystal (PBE, the Alexandria database).

Cell lengths 6.144, 6.144, 6.144 Å; angles 134.28, 134.28, 66.65 degrees
Fractional positions:
Pb (0.500, 0.500, 0.000)
Tl (0.750, 0.250, 0.500)
In (0.000, 0.000, 0.000)
In (0.250, 0.750, 0.500)

Calculated values
- space-group type = I-4m2, No. 119
- relative energy among the computed polymorphs (meV per atom) = 31
- total energy (eV/cell) = -11.44

No. 8
# Tl2In5Pb12

A relaxed Tl2In5Pb12 crystal (PBE, the Alexandria database).

Cell lengths 4.925, 13.617, 13.617 Å; angles 41.59, 78.98, 78.98 degrees
Fractional positions:
Tl (0.000, 0.272, 0.728)
Tl (0.000, 0.728, 0.272)
In (0.302, 0.198, 0.198)
In (0.702, 0.297, 0.297)
In (0.500, 0.000, 0.000)
In (0.298, 0.703, 0.703)
In (0.698, 0.802, 0.802)
Pb (0.097, 0.903, 0.903)
Pb (0.199, 0.549, 0.050)
Pb (0.199, 0.050, 0.549)
Pb (0.597, 0.647, 0.156)
Pb (0.597, 0.156, 0.647)
Pb (0.100, 0.397, 0.397)
Pb (0.900, 0.603, 0.603)
Pb (0.403, 0.353, 0.844)
Pb (0.403, 0.844, 0.353)
Pb (0.801, 0.451, 0.950)
Pb (0.801, 0.950, 0.451)
Pb (0.903, 0.097, 0.097)

Calculated values
- space-group type = C2/m, No. 12
- total energy (eV/cell) = -62.45

The records above yield ρ values of 9.4, 9.6, 10.2, 8.0, 10.5, 9.3, 9.1, 9.7 g cm⁻³, respectively.